[1]
! Nd2PdI PBE optimized geometry; values from VASP
! raw formation energy	-847	meV/atom
&SYSTEM
  ibrav = 0, nat = 4, ntyp = 3
/
ATOMIC_SPECIES
Nd 144.24 Nd.upf
Pd 106.42 Pd.upf
I 126.90 I.upf
ATOMIC_POSITIONS crystal
Nd 0.667 0.667 0.189
Nd 0.333 0.333 0.811
Pd 0.000 0.000 0.000
I 0.000 0.000 0.500
CELL_PARAMETERS angstrom
4.256 0.000 0.000
2.128 3.686 0.000
0.000 0.000 8.168

[2]
! Tm8GaSe4S3 PBE optimized geometry; values from VASP
! raw formation energy	-1660	meV/atom
&SYSTEM
  ibrav = 0, nat = 16, ntyp = 4
/
ATOMIC_SPECIES
Tm 168.93 Tm.upf
Ga 69.72 Ga.upf
Se 78.96 Se.upf
S 32.06 S.upf
ATOMIC_POSITIONS crystal
Tm 0.243 0.731 0.988
Tm 0.243 0.731 0.487
Tm 0.258 0.274 0.516
Tm 0.744 0.731 0.988
Tm 0.256 0.269 0.012
Tm 0.742 0.726 0.484
Tm 0.757 0.269 0.513
Tm 0.757 0.269 0.012
Ga 0.000 0.500 0.000
Se 0.500 0.000 0.000
Se 0.500 0.000 0.500
Se 0.000 0.000 0.000
Se 0.000 0.000 0.500
S 0.500 0.500 0.000
S 0.500 0.500 0.500
S 0.000 0.500 0.500
CELL_PARAMETERS angstrom
7.901 0.000 0.000
0.000 8.000 0.064
-3.951 -3.947 5.590

[3]
! CsScTe2O8 PBE optimized geometry; values from VASP
! raw formation energy	-1556	meV/atom
&SYSTEM
  ibrav = 0, nat = 12, ntyp = 4
/
ATOMIC_SPECIES
Cs 132.91 Cs.upf
Sc 44.96 Sc.upf
Te 127.60 Te.upf
O 16.00 O.upf
ATOMIC_POSITIONS crystal
Cs 0.000 0.000 0.000
Sc 0.000 0.000 0.500
Te 0.667 0.333 0.301
Te 0.333 0.667 0.699
O 0.333 0.667 0.894
O 0.327 0.275 0.365
O 0.725 0.052 0.365
O 0.667 0.333 0.106
O 0.275 0.948 0.635
O 0.673 0.725 0.635
O 0.052 0.327 0.635
O 0.948 0.673 0.365
CELL_PARAMETERS angstrom
-3.357 0.863 4.344
4.700 -2.892 0.652
4.576 7.882 1.971

[4]
! Mn2AlW PBE optimized geometry; values from VASP
! calculated formation energy	0.0361	eV/atom
&SYSTEM
  ibrav = 0, nat = 4, ntyp = 3
/
ATOMIC_SPECIES
Mn 54.94 Mn.upf
Al 26.98 Al.upf
W 183.84 W.upf
ATOMIC_POSITIONS crystal
Mn 0.000 0.047 0.988
Mn 0.000 0.453 0.512
Al 0.500 0.750 0.750
W 0.500 0.250 0.250
CELL_PARAMETERS angstrom
-0.433 -4.011 -0.565
2.152 -0.436 1.450
-2.121 -0.405 4.499

In eV/atom, the calculated total energy values for the records above are, in order, -4.916; -5.730; -5.984; -8.723.
In states/eV/cell, the DOS(E_F) values for the records above are, in order, 2.9; 6.0; 0.0; 4.4.